Entry 1:
LiLa2ReC: optimized geometry, GGA-PBE.

spin magnetization = 0.0 μB/cell
energy relative to the lowest polymorph listed for this composition = 0 meV/atom
N(E_F) = 3.36 states/eV/f.u.
electronic total energy = -33.52 eV for the cell shown
space group = P4/mmm (123)

Cell: 5.365 5.365 3.999 Å, 90.00 90.00 90.00°
Fractional positions:
Li 0.500 0.500 0.500
La 0.500 0.000 0.000
La 0.000 0.500 0.000
Re 0.000 0.000 0.500
C 0.000 0.000 0.000

---

Entry 2:
LiLa2ReC: optimized geometry, GGA-PBE.

spin magnetization = 0.0 μB/cell
energy relative to the lowest polymorph listed for this composition = 1597 meV/atom
N(E_F) = 3.64 states/eV/f.u.
electronic total energy = -25.54 eV for the cell shown
space group = P4/mmm (123)

Cell: 5.096 4.118 5.096 Å, 90.00 90.00 90.00°
Fractional positions:
La 0.000 0.000 0.500
Re 0.000 0.500 0.000
C 0.500 0.500 0.500
Li 0.000 0.000 0.000
La 0.500 0.000 0.000

---

Entry 3:
LiLa2RhC: optimized geometry, GGA-PBE.

spin magnetization = 0.0 μB/cell
N(E_F) = 1.86 states/eV/f.u.
electronic total energy = -29.56 eV for the cell shown
space group = P4/mmm (123)

Cell: 5.365 5.365 3.936 Å, 90.00 90.00 90.00°
Fractional positions:
La 0.500 0.000 0.000
La 0.000 0.500 0.000
Rh 0.000 0.000 0.500
C 0.000 0.000 0.000
Li 0.500 0.500 0.500

---

Entry 4:
LiLaRuC: optimized geometry, GGA-PBE.

spin magnetization = 0.0 μB/cell
N(E_F) = 2.48 states/eV/f.u.
electronic total energy = -50.43 eV for the cell shown
space group = P4/nmm (129)

Cell: 3.772 3.772 11.114 Å, 90.00 90.00 90.00°
Fractional positions:
Li 0.750 0.250 0.500
C 0.250 0.250 0.089
La 0.250 0.250 0.782
Li 0.250 0.750 0.500
Ru 0.250 0.750 0.000
C 0.750 0.750 0.911
La 0.750 0.750 0.218
Ru 0.750 0.250 0.000

---

Entry 5:
LiLaSc2C: optimized geometry, GGA-PBE.

spin magnetization = 0.0 μB/cell
N(E_F) = 2.99 states/eV/f.u.
electronic total energy = -29.22 eV for the cell shown
space group = P4/mmm (123)

Cell: 4.554 4.554 5.420 Å, 90.00 90.00 90.00°
Fractional positions:
Li 0.500 0.500 0.500
Sc 0.000 0.500 0.000
C 0.000 0.000 0.000
La 0.000 0.000 0.500
Sc 0.500 0.000 0.000

---

Entry 6:
LiLa2SnC: optimized geometry, GGA-PBE.

spin magnetization = 0.0 μB/cell
N(E_F) = 5.51 states/eV/f.u.
electronic total energy = -26.46 eV for the cell shown
space group = P4/mmm (123)

Cell: 5.204 5.204 4.515 Å, 90.00 90.00 90.00°
Fractional positions:
La 0.500 0.000 0.000
Sn 0.500 0.500 0.500
Li 0.000 0.000 0.500
La 0.000 0.500 0.000
C 0.000 0.000 0.000

---

Entry 7:
LiLaSnC2: optimized geometry, GGA-PBE.

spin magnetization = 0.0 μB/cell
N(E_F) = 2.89 states/eV/f.u.
electronic total energy = -21.28 eV for the cell shown
space group = P4/mmm (123)

Cell: 4.324 4.457 4.324 Å, 90.00 90.00 90.00°
Fractional positions:
Sn 0.500 0.500 0.500
Li 0.000 0.000 0.000
C 0.500 0.000 0.000
La 0.000 0.500 0.000
C 0.000 0.000 0.500

---

Entry 8:
SrLiLa2C: optimized geometry, GGA-PBE.

spin magnetization = 0.0 μB/cell
N(E_F) = 4.22 states/eV/f.u.
electronic total energy = -22.03 eV for the cell shown
space group = P4/mmm (123)

Cell: 5.199 5.199 5.773 Å, 90.00 90.00 90.00°
Fractional positions:
La 0.500 0.000 0.000
Li 0.500 0.500 0.500
La 0.000 0.500 0.000
Sr 0.000 0.000 0.500
C 0.000 0.000 0.000

---

Entry 9:
SrLiLaC2: optimized geometry, GGA-PBE.

spin magnetization = 0.0 μB/cell
N(E_F) = 1.44 states/eV/f.u.
electronic total energy = -19.56 eV for the cell shown
space group = P4/mmm (123)

Cell: 4.455 4.455 4.262 Å, 90.00 90.00 90.00°
Fractional positions:
C 0.500 0.000 0.000
C 0.000 0.500 0.000
La 0.000 0.000 0.500
Sr 0.500 0.500 0.500
Li 0.000 0.000 0.000

---

Entry 10:
LiLa2TcC: optimized geometry, GGA-PBE.

spin magnetization = 0.0 μB/cell
N(E_F) = 4.65 states/eV/f.u.
electronic total energy = -31.54 eV for the cell shown
space group = P4/mmm (123)

Cell: 5.355 5.355 4.005 Å, 90.00 90.00 90.00°
Fractional positions:
C 0.000 0.000 0.000
La 0.000 0.500 0.000
La 0.500 0.000 0.000
Li 0.500 0.500 0.500
Tc 0.000 0.000 0.500

---

Entry 11:
LiLa2TeC: optimized geometry, GGA-PBE.

spin magnetization = 0.0 μB/cell
N(E_F) = 1.31 states/eV/f.u.
formation energy (no corrections) = -0.609 eV/atom
electronic total energy = -27.18 eV for the cell shown
space group = P4/mmm (123)

Cell: 5.233 5.233 4.345 Å, 90.00 90.00 90.00°
Fractional positions:
Te 0.500 0.500 0.500
La 0.000 0.500 0.000
La 0.500 0.000 0.000
Li 0.000 0.000 0.500
C 0.000 0.000 0.000

---

Entry 12:
Li2LaWC: optimized geometry, GGA-PBE.

spin magnetization = 1.0 μB/cell
N(E_F) = 3.54 states/eV/f.u.
electronic total energy = -26.93 eV for the cell shown
space group = P4/mmm (123)

Cell: 4.796 4.117 4.796 Å, 90.00 90.00 90.00°
Fractional positions:
La 0.500 0.500 0.500
Li 0.000 0.000 0.500
W 0.000 0.000 0.000
Li 0.500 0.000 0.000
C 0.000 0.500 0.000

---

> Which value of spin magnetization does entry 11 give?

0.0 μB/cell

---

> spin magnetization of number 4 (LiLaRuC)?

0.0 μB/cell